Record 1
Entry from the Alexandria database: CeEr3Zn8 after structural relaxation (PBE-GGA).

Lattice parameters (Å, degrees): 5.500 5.500 8.721 90.00 90.00 120.00
Positions (direct):
1 Ce 0.000 0.000 0.558
2 Er 0.667 0.333 0.445
3 Er 0.667 0.333 0.064
4 Er 0.000 0.000 0.933
5 Zn 0.333 0.667 0.501
6 Zn 0.333 0.667 0.001
7 Zn 0.503 0.007 0.754
8 Zn 0.503 0.497 0.754
9 Zn 0.993 0.497 0.754
10 Zn 0.164 0.327 0.246
11 Zn 0.164 0.836 0.246
12 Zn 0.673 0.836 0.246

Output
DOS at the Fermi energy   0.93 states/eV/atom
Space group   No. 156
ΔH_f (0 K)   -301.5 meV per atom
V   19.04 Å³ per atom

Record 2
Entry from the Alexandria database: CeErZn6 after structural relaxation (PBE-GGA).

Lattice parameters (Å, degrees): 4.296 6.005 5.953 90.00 90.00 90.00
Positions (direct):
1 Ce 0.000 0.603 0.000
2 Er 0.500 0.401 0.500
3 Zn 0.500 0.869 0.265
4 Zn 0.000 0.134 0.750
5 Zn 0.000 0.134 0.250
6 Zn 0.500 0.869 0.735
7 Zn 0.000 0.767 0.500
8 Zn 0.500 0.222 0.000

Output
DOS at the Fermi energy   1.08 states/eV/atom
Space group   No. 25
ΔH_f (0 K)   -265.7 meV per atom
V   19.20 Å³ per atom

Record 3
Entry from the Alexandria database: Ce3ErZn4 after structural relaxation (PBE-GGA).

Lattice parameters (Å, degrees): 5.097 7.198 10.193 90.00 90.00 90.00
Positions (direct):
1 Zn 0.500 0.740 0.000
2 Zn 0.500 0.740 0.500
3 Zn 0.500 0.260 0.000
4 Zn 0.500 0.260 0.500
5 Zn 0.002 0.740 0.750
6 Zn 0.998 0.740 0.250
7 Zn 0.998 0.260 0.250
8 Zn 0.002 0.260 0.750
9 Ce 0.000 0.000 0.000
10 Ce 0.000 0.000 0.500
11 Ce 0.502 0.000 0.750
12 Ce 0.498 0.000 0.250
13 Ce 0.502 0.500 0.750
14 Ce 0.498 0.500 0.250
15 Er 0.000 0.500 0.000
16 Er 0.000 0.500 0.500

Output
DOS at the Fermi energy   2.44 states/eV/atom
Space group   No. 51
ΔH_f (0 K)   -213.3 meV per atom
V   23.37 Å³ per atom

Record 4
Entry from the Alexandria database: CeErZn2 after structural relaxation (PBE-GGA).

Lattice parameters (Å, degrees): 3.444 3.444 9.595 79.66 79.66 60.00
Positions (direct):
1 Zn 0.747 0.747 0.760
2 Zn 0.253 0.253 0.240
3 Ce 0.500 0.500 0.500
4 Er 0.000 0.000 0.000

Output
DOS at the Fermi energy   1.56 states/eV/atom
Space group   No. 166
ΔH_f (0 K)   -57.2 meV per atom
V   24.10 Å³ per atom

Record 5
Entry from the Alexandria database: CeEr2Zn3 after structural relaxation (PBE-GGA).

Lattice parameters (Å, degrees): 3.528 3.528 10.890 90.00 90.00 90.00
Positions (direct):
1 Ce 0.500 0.500 0.500
2 Er 0.500 0.500 0.162
3 Er 0.500 0.500 0.838
4 Zn 0.000 0.000 0.000
5 Zn 0.000 0.000 0.680
6 Zn 0.000 0.000 0.320

Output
DOS at the Fermi energy   1.64 states/eV/atom
Space group   No. 123
ΔH_f (0 K)   -288.1 meV per atom
V   22.60 Å³ per atom

Record 6
Entry from the Alexandria database: CeEr2Zn after structural relaxation (PBE-GGA).

Lattice parameters (Å, degrees): 3.489 3.489 8.640 90.00 90.00 90.00
Positions (direct):
1 Zn 0.500 0.500 0.000
2 Ce 0.500 0.500 0.500
3 Er 0.000 0.000 0.792
4 Er 0.000 0.000 0.208

Output
DOS at the Fermi energy   1.79 states/eV/atom
Space group   No. 123
ΔH_f (0 K)   -123.8 meV per atom
Energy relative to the lowest polymorph listed for this composition   0.000 eV/atom
V   26.29 Å³ per atom

Record 7
Entry from the Alexandria database: CeEr2Zn6 after structural relaxation (PBE-GGA).

Lattice parameters (Å, degrees): 3.435 7.801 7.799 120.01 90.00 90.00
Positions (direct):
1 Ce 0.000 0.000 0.000
2 Er 0.000 0.333 0.667
3 Er 0.000 0.667 0.333
4 Zn 0.500 0.337 0.337
5 Zn 0.500 0.663 0.663
6 Zn 0.500 0.000 0.663
7 Zn 0.500 0.663 0.000
8 Zn 0.500 0.337 0.000
9 Zn 0.500 0.000 0.337

Output
DOS at the Fermi energy   1.09 states/eV/atom
Space group   No. 191
ΔH_f (0 K)   -338.3 meV per atom
V   20.11 Å³ per atom

Record 8
Entry from the Alexandria database: CeErZr2 after structural relaxation (PBE-GGA).

Lattice parameters (Å, degrees): 3.269 3.269 11.659 81.94 81.94 60.00
Positions (direct):
1 Zr 0.090 0.090 0.731
2 Zr 0.910 0.910 0.269
3 Ce 0.500 0.500 0.500
4 Er 0.000 0.000 0.000

Output
DOS at the Fermi energy   2.15 states/eV/atom
Space group   No. 166
ΔH_f (0 K)   302.8 meV per atom
Energy relative to the lowest polymorph listed for this composition   0.197 eV/atom
V   26.62 Å³ per atom

Record 9
Entry from the Alexandria database: CeErZr2 after structural relaxation (PBE-GGA).

Lattice parameters (Å, degrees): 4.721 4.693 4.693 90.00 90.00 90.00
Positions (direct):
1 Zr 0.000 0.000 0.500
2 Zr 0.000 0.500 0.000
3 Ce 0.500 0.000 0.000
4 Er 0.500 0.500 0.500

Output
DOS at the Fermi energy   1.55 states/eV/atom
Space group   No. 123
ΔH_f (0 K)   120.1 meV per atom
Energy relative to the lowest polymorph listed for this composition   0.014 eV/atom
V   25.99 Å³ per atom

Record 10
Entry from the Alexandria database: CeErZr after structural relaxation (PBE-GGA).

Lattice parameters (Å, degrees): 3.297 3.297 7.859 102.11 102.11 90.00
Positions (direct):
1 Zr 0.334 0.334 0.668
2 Ce 0.674 0.674 0.348
3 Er 0.992 0.992 0.984

Output
DOS at the Fermi energy   2.04 states/eV/atom
Space group   No. 107
ΔH_f (0 K)   102.7 meV per atom
Energy relative to the lowest polymorph listed for this composition   0.029 eV/atom
V   27.20 Å³ per atom

Record 11
Entry from the Alexandria database: CeErZr2 after structural relaxation (PBE-GGA).

Lattice parameters (Å, degrees): 3.891 3.891 6.858 90.00 90.00 90.00
Positions (direct):
1 Zr 0.000 0.000 0.718
2 Zr 0.000 0.000 0.282
3 Ce 0.500 0.500 0.500
4 Er 0.500 0.500 0.000

Output
DOS at the Fermi energy   1.63 states/eV/atom
Space group   No. 123
ΔH_f (0 K)   153.2 meV per atom
Energy relative to the lowest polymorph listed for this composition   0.047 eV/atom
V   25.95 Å³ per atom

Record 12
Entry from the Alexandria database: Ce2ErZr after structural relaxation (PBE-GGA).

Lattice parameters (Å, degrees): 3.290 3.290 10.096 90.00 90.00 90.00
Positions (direct):
1 Zr 0.500 0.500 0.000
2 Ce 0.000 0.000 0.762
3 Ce 0.000 0.000 0.238
4 Er 0.500 0.500 0.500

Output
DOS at the Fermi energy   2.55 states/eV/atom
Space group   No. 123
ΔH_f (0 K)   114.8 meV per atom
Energy relative to the lowest polymorph listed for this composition   0.000 eV/atom
V   27.32 Å³ per atom

Record 13
Entry from the Alexandria database: CeErZr2 after structural relaxation (PBE-GGA).

Lattice parameters (Å, degrees): 3.305 3.305 11.084 81.43 81.43 60.00
Positions (direct):
1 Ce 0.500 0.500 0.500
2 Er 0.667 0.667 0.999
3 Zr 0.083 0.083 0.750
4 Zr 0.250 0.250 0.251

Output
DOS at the Fermi energy   1.84 states/eV/atom
Space group   No. 160
ΔH_f (0 K)   105.7 meV per atom
Energy relative to the lowest polymorph listed for this composition   0.000 eV/atom
V   25.82 Å³ per atom

Record 14
Entry from the Alexandria database: Ce2ErZr after structural relaxation (PBE-GGA).

Lattice parameters (Å, degrees): 3.358 3.358 11.313 81.47 81.47 60.00
Positions (direct):
1 Zr 0.000 0.000 0.000
2 Ce 0.747 0.747 0.759
3 Ce 0.253 0.253 0.241
4 Er 0.500 0.500 0.500

Output
DOS at the Fermi energy   2.60 states/eV/atom
Space group   No. 166
ΔH_f (0 K)   119.5 meV per atom
Energy relative to the lowest polymorph listed for this composition   0.005 eV/atom
V   27.21 Å³ per atom

Record 15
Entry from the Alexandria database: CeErZr after structural relaxation (PBE-GGA).

Lattice parameters (Å, degrees): 3.809 3.809 11.264 90.00 90.00 90.00
Positions (direct):
1 Ce 0.000 0.500 0.553
2 Ce 0.500 0.000 0.447
3 Er 0.500 0.000 0.771
4 Er 0.000 0.500 0.229
5 Zr 0.000 0.500 0.942
6 Zr 0.500 0.000 0.058

Output
DOS at the Fermi energy   2.06 states/eV/atom
Space group   No. 129
ΔH_f (0 K)   129.2 meV per atom
Energy relative to the lowest polymorph listed for this composition   0.055 eV/atom
V   27.23 Å³ per atom

Record 16
Entry from the Alexandria database: Ce2ErZr after structural relaxation (PBE-GGA).

Lattice parameters (Å, degrees): 4.982 4.679 4.679 90.00 90.00 90.00
Positions (direct):
1 Zr 0.500 0.000 0.000
2 Ce 0.000 0.000 0.500
3 Ce 0.000 0.500 0.000
4 Er 0.500 0.500 0.500

Output
DOS at the Fermi energy   2.54 states/eV/atom
Space group   No. 123
ΔH_f (0 K)   127.9 meV per atom
Energy relative to the lowest polymorph listed for this composition   0.013 eV/atom
V   27.27 Å³ per atom

Record 17
Entry from the Alexandria database: CeErZr2 after structural relaxation (PBE-GGA).

Lattice parameters (Å, degrees): 5.277 5.277 5.277 60.00 60.00 60.00
Positions (direct):
1 Zr 0.250 0.250 0.250
2 Zr 0.750 0.750 0.750
3 Ce 0.500 0.500 0.500
4 Er 0.000 0.000 0.000

Output
DOS at the Fermi energy   2.62 states/eV/atom
Space group   No. 225
ΔH_f (0 K)   241.1 meV per atom
Energy relative to the lowest polymorph listed for this composition   0.135 eV/atom
V   25.98 Å³ per atom

Record 18
Entry from the Alexandria database: Ce2ErZr after structural relaxation (PBE-GGA).

Lattice parameters (Å, degrees): 5.407 5.407 5.407 60.00 60.00 60.00
Positions (direct):
1 Zr 0.500 0.500 0.500
2 Ce 0.250 0.250 0.250
3 Ce 0.750 0.750 0.750
4 Er 0.000 0.000 0.000

Output
DOS at the Fermi energy   3.07 states/eV/atom
Space group   No. 225
ΔH_f (0 K)   241.8 meV per atom
Energy relative to the lowest polymorph listed for this composition   0.127 eV/atom
V   27.94 Å³ per atom

Record 19
Entry from the Alexandria database: CeErZr after structural relaxation (PBE-GGA).

Lattice parameters (Å, degrees): 3.389 5.247 5.247 120.00 90.00 90.00
Positions (direct):
1 Zr 0.167 0.333 0.667
2 Ce 0.167 0.000 0.000
3 Er 0.667 0.667 0.333

Output
DOS at the Fermi energy   1.62 states/eV/atom
Space group   No. 187
ΔH_f (0 K)   74.0 meV per atom
Energy relative to the lowest polymorph listed for this composition   0.000 eV/atom
V   26.93 Å³ per atom

Record 20
Entry from the Alexandria database: Ce3Eu after structural relaxation (PBE-GGA).

Lattice parameters (Å, degrees): 5.985 5.985 5.985 131.82 131.82 70.52
Positions (direct):
1 Ce 0.750 0.250 0.500
2 Ce 0.250 0.750 0.500
3 Ce 0.500 0.500 0.000
4 Eu 0.000 0.000 0.000

Output
DOS at the Fermi energy   2.92 states/eV/atom
Space group   No. 139
ΔH_f (0 K)   216.0 meV per atom
V   29.16 Å³ per atom

Record 21
Entry from the Alexandria database: CeEu after structural relaxation (PBE-GGA).

Lattice parameters (Å, degrees): 4.174 3.749 9.579 70.04 90.00 90.00
Positions (direct):
1 Eu 0.250 0.882 0.847
2 Eu 0.750 0.118 0.153
3 Ce 0.250 0.393 0.432
4 Ce 0.750 0.607 0.568

Output
DOS at the Fermi energy   2.16 states/eV/atom
Space group   No. 11
ΔH_f (0 K)   127.1 meV per atom
V   35.22 Å³ per atom

Record 22
Entry from the Alexandria database: Ce3Eu after structural relaxation (PBE-GGA).

Lattice parameters (Å, degrees): 3.391 5.665 6.137 90.00 90.00 90.00
Positions (direct):
1 Eu 0.000 0.500 0.315
2 Ce 0.000 0.000 0.965
3 Ce 0.500 0.000 0.551
4 Ce 0.500 0.500 0.837

Output
DOS at the Fermi energy   2.94 states/eV/atom
Space group   No. 25
ΔH_f (0 K)   215.1 meV per atom
V   29.47 Å³ per atom

Record 23
Entry from the Alexandria database: Ce2EuFe after structural relaxation (PBE-GGA).

Lattice parameters (Å, degrees): 3.869 3.869 8.942 77.51 77.51 60.00
Positions (direct):
1 Eu 0.500 0.500 0.500
2 Fe 0.000 0.000 0.000
3 Ce 0.279 0.279 0.162
4 Ce 0.721 0.721 0.838

Output
DOS at the Fermi energy   1.84 states/eV/atom
Space group   No. 166
ΔH_f (0 K)   100.7 meV per atom
V   28.06 Å³ per atom

Record 24
Entry from the Alexandria database: Ce2EuGa after structural relaxation (PBE-GGA).

Lattice parameters (Å, degrees): 4.777 4.733 4.733 90.00 90.00 90.00
Positions (direct):
1 Eu 0.500 0.500 0.500
2 Ga 0.500 0.000 0.000
3 Ce 0.000 0.000 0.500
4 Ce 0.000 0.500 0.000

Output
DOS at the Fermi energy   2.16 states/eV/atom
Space group   No. 123
ΔH_f (0 K)   -133.9 meV per atom
Energy relative to the lowest polymorph listed for this composition   0.000 eV/atom
V   26.76 Å³ per atom

Record 25
Entry from the Alexandria database: CeEuGa after structural relaxation (PBE-GGA).

Lattice parameters (Å, degrees): 3.589 5.018 5.018 120.00 90.00 90.00
Positions (direct):
1 Eu 0.679 0.333 0.667
2 Ga 0.003 0.000 0.000
3 Ce 0.318 0.667 0.333

Output
DOS at the Fermi energy   1.52 states/eV/atom
Space group   No. 156
ΔH_f (0 K)   -164.9 meV per atom
Energy relative to the lowest polymorph listed for this composition   0.068 eV/atom
V   26.09 Å³ per atom

Record 26
Entry from the Alexandria database: Ce2EuGa after structural relaxation (PBE-GGA).

Lattice parameters (Å, degrees): 5.351 5.351 5.351 60.00 60.00 60.00
Positions (direct):
1 Eu 0.500 0.500 0.500
2 Ga 0.000 0.000 0.000
3 Ce 0.250 0.250 0.250
4 Ce 0.750 0.750 0.750

Output
DOS at the Fermi energy   3.08 states/eV/atom
Space group   No. 225
ΔH_f (0 K)   -22.4 meV per atom
Energy relative to the lowest polymorph listed for this composition   0.112 eV/atom
V   27.09 Å³ per atom

Record 27
Entry from the Alexandria database: CeEuGa4 after structural relaxation (PBE-GGA).

Lattice parameters (Å, degrees): 5.613 5.613 5.613 60.00 60.00 60.00
Positions (direct):
1 Eu 0.250 0.250 0.250
2 Ga 0.626 0.626 0.123
3 Ga 0.626 0.123 0.626
4 Ga 0.626 0.626 0.626
5 Ga 0.123 0.626 0.626
6 Ce 0.000 0.000 0.000

Output
DOS at the Fermi energy   1.10 states/eV/atom
Space group   No. 216
ΔH_f (0 K)   -505.2 meV per atom
V   20.84 Å³ per atom

Record 28
Entry from the Alexandria database: CeEuGa after structural relaxation (PBE-GGA).

Lattice parameters (Å, degrees): 3.679 3.679 6.910 105.44 105.44 90.00
Positions (direct):
1 Eu 0.023 0.023 0.045
2 Ce 0.306 0.306 0.613
3 Ga 0.671 0.671 0.342

Output
DOS at the Fermi energy   2.23 states/eV/atom
Space group   No. 107
ΔH_f (0 K)   -233.0 meV per atom
Energy relative to the lowest polymorph listed for this composition   0.000 eV/atom
V   28.88 Å³ per atom

Record 29
Entry from the Alexandria database: CeEuGaIr after structural relaxation (PBE-GGA).

Lattice parameters (Å, degrees): 5.062 5.062 5.062 60.00 60.00 60.00
Positions (direct):
1 Eu 0.500 0.500 0.500
2 Ir 0.250 0.250 0.250
3 Ga 0.750 0.750 0.750
4 Ce 0.000 0.000 0.000

Output
DOS at the Fermi energy   1.66 states/eV/atom
Space group   No. 216
ΔH_f (0 K)   -434.3 meV per atom
V   22.93 Å³ per atom